## CsAc2Si (PBE)

Data for crystalline CsAc2Si at its relaxed geometry.

a = 4.027 Å, b = 4.027 Å, c = 11.357 Å
α = 90.00°, β = 90.00°, γ = 90.00°
Positions (direct):
Cs: 0.500 0.500 0.500
Ac: 0.000 0.000 0.855
Ac: 0.000 0.000 0.145
Si: 0.500 0.500 0.000

Results
Fermi-level density of states in states/eV/f.u.: 4.28
Size of the total moment in μB per atom: 0.00
Formation energy (no corrections) in meV per atom: -23.9
Space-group type: No. 123